[1]
Here is a relaxed structure of Ba2ScIrO6 from the Alexandria database. Energies are from GGA-PBEsol.

Unit cell a=5.7448 b=5.7448 c=5.7448 alpha=60.00 beta=60.00 gamma=60.00
Closest atoms and distances in Å follow each position.
Atoms (fractional coordinates):
Ba 0.2500 0.2500 0.2500  12 O 2.87
Ba 0.7500 0.7500 0.7500  12 O 2.87
Sc 0.0000 0.0000 0.0000  6 O 2.09
Ir 0.5000 0.5000 0.5000  6 O 1.97
O 0.2570 0.2570 0.7430  1 Ir 1.97, 1 Sc 2.09
O 0.2570 0.7430 0.2570  1 Ir 1.97, 1 Sc 2.09
O 0.2570 0.7430 0.7430  1 Ir 1.97, 1 Sc 2.09
O 0.7430 0.2570 0.2570  1 Ir 1.97, 1 Sc 2.09
O 0.7430 0.2570 0.7430  1 Ir 1.97, 1 Sc 2.09
O 0.7430 0.7430 0.2570  1 Ir 1.97, 1 Sc 2.09

ΔE_f (raw)	-2.41	eV/atom


[2]
Here is a relaxed structure of Ba2YIrO6 from the Alexandria database. Energies are from GGA-PBEsol.

Unit cell a=5.8880 b=5.8880 c=5.8880 alpha=60.00 beta=60.00 gamma=60.00
Closest atoms and distances in Å follow each position.
Atoms (fractional coordinates):
Ba 0.2500 0.2500 0.2500  12 O 2.95
Ba 0.7500 0.7500 0.7500  12 O 2.95
Y 0.0000 0.0000 0.0000  6 O 2.20
Ir 0.5000 0.5000 0.5000  6 O 1.97
O 0.2639 0.2639 0.7361  1 Ir 1.97, 1 Y 2.20
O 0.2639 0.7361 0.2639  1 Ir 1.97, 1 Y 2.20
O 0.2639 0.7361 0.7361  1 Ir 1.97, 1 Y 2.20
O 0.7361 0.2639 0.2639  1 Ir 1.97, 1 Y 2.20
O 0.7361 0.2639 0.7361  1 Ir 1.97, 1 Y 2.20
O 0.7361 0.7361 0.2639  1 Ir 1.97, 1 Y 2.20

ΔE_f (raw)	-2.41	eV/atom


[3]
Here is a relaxed structure of Ba3ZnIr2O9 from the Alexandria database. Energies are from GGA-PBEsol.

Unit cell a=5.7475 b=5.7475 c=14.1997 alpha=90.00 beta=90.00 gamma=120.00
Closest atoms and distances in Å follow each position.
Atoms (fractional coordinates):
Ba 0.0000 0.0000 0.2500  12 O 2.88-2.93
Ba 0.0000 0.0000 0.7500  12 O 2.88-2.93
Ba 0.3333 0.6667 0.0842  12 O 2.87-2.93
Ba 0.3333 0.6667 0.4158  12 O 2.87-2.93
Ba 0.6667 0.3333 0.5842  12 O 2.87-2.93
Ba 0.6667 0.3333 0.9158  12 O 2.87-2.93
Zn 0.0000 0.0000 0.0000  6 O 2.08
Zn 0.0000 0.0000 0.5000  6 O 2.08
Ir 0.3333 0.6667 0.6601  6 O 1.94-2.02
Ir 0.3333 0.6667 0.8399  6 O 1.94-2.02
Ir 0.6667 0.3333 0.1601  6 O 1.94-2.02
Ir 0.6667 0.3333 0.3399  6 O 1.94-2.02
O 0.0181 0.5090 0.7500  2 Ir 2.02
O 0.1720 0.3440 0.5830  1 Ir 1.94, 1 Zn 2.08
O 0.1720 0.3440 0.9170  1 Ir 1.94, 1 Zn 2.08
O 0.1720 0.8280 0.5830  1 Ir 1.94, 1 Zn 2.08
O 0.1720 0.8280 0.9170  1 Ir 1.94, 1 Zn 2.08
O 0.3440 0.1720 0.0830  1 Ir 1.94, 1 Zn 2.08
O 0.3440 0.1720 0.4170  1 Ir 1.94, 1 Zn 2.08
O 0.4910 0.5090 0.7500  2 Ir 2.02
O 0.4910 0.9819 0.7500  2 Ir 2.02
O 0.5090 0.0181 0.2500  2 Ir 2.02
O 0.5090 0.4910 0.2500  2 Ir 2.02
O 0.6560 0.8280 0.5830  1 Ir 1.94, 1 Zn 2.08
O 0.6560 0.8280 0.9170  1 Ir 1.94, 1 Zn 2.08
O 0.8280 0.1720 0.0830  1 Ir 1.94, 1 Zn 2.08
O 0.8280 0.1720 0.4170  1 Ir 1.94, 1 Zn 2.08
O 0.8280 0.6560 0.0830  1 Ir 1.94, 1 Zn 2.08
O 0.8280 0.6560 0.4170  1 Ir 1.94, 1 Zn 2.08
O 0.9819 0.4910 0.2500  2 Ir 2.02

ΔE_f (raw)	-1.73	eV/atom


[4]
Here is a relaxed structure of Ba2IrOs from the Alexandria database. Energies are from GGA-PBEsol.

Unit cell a=7.4015 b=4.3215 c=8.9997 alpha=90.00 beta=104.83 gamma=90.00
Closest atoms and distances in Å follow each position.
Atoms (fractional coordinates):
Ba 0.0000 0.0000 0.0000  3 Ir 3.29-3.33, 3 Os 3.30-3.35
Ba 0.1584 0.0000 0.5087  3 Os 3.29-3.34, 3 Ir 3.30-3.34
Ba 0.5000 0.5000 0.0000  3 Ir 3.29-3.33, 3 Os 3.30-3.35
Ba 0.6584 0.5000 0.5087  3 Os 3.29-3.34, 3 Ir 3.30-3.34
Ir 0.4093 0.0000 0.2536  3 Os 2.46-2.52
Ir 0.9093 0.5000 0.2536  3 Os 2.46-2.52
Os 0.2501 0.5000 0.2551  3 Ir 2.46-2.52
Os 0.7501 0.0000 0.2551  3 Ir 2.46-2.52

ΔH_f (0 K)	0.128	eV per atom


Computed values of VASP energy (unit: eV/atom) for the preceding records, in sequence: -7.64, -7.65, -6.73, -6.46.
Computed values of volume (unit: A^3/atom) for the preceding records, in sequence: 13.41, 14.43, 13.54, 34.78.